(1)
A plane-wave DFT calculation with GGA-PBE was carried out for a geometry-optimized AcPmHg2 structure.

The structure in CIF format:
```
data_AcPmHg2
_symmetry_space_group_name_H-M 'P 1'
_symmetry_Int_Tables_number 1
_cell_length_a 3.913
_cell_length_b 3.913
_cell_length_c 7.920
_cell_angle_alpha 90.00
_cell_angle_beta 90.00
_cell_angle_gamma 90.00
loop_
_symmetry_equiv_pos_as_xyz
'x,y,z'
loop_
_atom_site_label
_atom_site_type_symbol
_atom_site_fract_x
_atom_site_fract_y
_atom_site_fract_z
Ac1 Ac 0.000 0.000 0.000
Pm1 Pm 0.000 0.000 0.500
Hg1 Hg 0.500 0.500 0.274
Hg2 Hg 0.500 0.500 0.726
```

Results
Crystal system = tetragonal
Energy of formation from the pure elements = -464 meV per atom
Relative energy among the computed polymorphs = 0.0 meV per atom
DOS at the Fermi energy = 4.75 states/eV/cell



(2)
A plane-wave DFT calculation with GGA-PBE was carried out for a geometry-optimized NbPb structure.

The structure in CIF format:
```
data_NbPb
_symmetry_space_group_name_H-M 'P 1'
_symmetry_Int_Tables_number 1
_cell_length_a 4.538
_cell_length_b 13.360
_cell_length_c 5.130
_cell_angle_alpha 90.00
_cell_angle_beta 90.00
_cell_angle_gamma 90.00
loop_
_symmetry_equiv_pos_as_xyz
'x,y,z'
loop_
_atom_site_label
_atom_site_type_symbol
_atom_site_fract_x
_atom_site_fract_y
_atom_site_fract_z
Nb1 Nb 0.250 0.141 0.177
Nb2 Nb 0.250 0.359 0.177
Nb3 Nb 0.250 0.750 0.801
Nb4 Nb 0.750 0.250 0.199
Nb5 Nb 0.750 0.641 0.823
Nb6 Nb 0.750 0.859 0.823
Pb1 Pb 0.250 0.250 0.679
Pb2 Pb 0.250 0.502 0.718
Pb3 Pb 0.250 0.998 0.718
Pb4 Pb 0.750 0.002 0.282
Pb5 Pb 0.750 0.498 0.282
Pb6 Pb 0.750 0.750 0.321
```

Results
Crystal system = orthorhombic
Energy of formation from the pure elements = 565 meV per atom
Relative energy among the computed polymorphs = 319.8 meV per atom
DOS at the Fermi energy = 8.91 states/eV/cell



(3)
A plane-wave DFT calculation with GGA-PBE was carried out for a geometry-optimized TbPmGd2 structure.

The structure in CIF format:
```
data_TbPmGd2
_symmetry_space_group_name_H-M 'P 1'
_symmetry_Int_Tables_number 1
_cell_length_a 5.075
_cell_length_b 5.075
_cell_length_c 5.083
_cell_angle_alpha 90.00
_cell_angle_beta 90.00
_cell_angle_gamma 90.00
loop_
_symmetry_equiv_pos_as_xyz
'x,y,z'
loop_
_atom_site_label
_atom_site_type_symbol
_atom_site_fract_x
_atom_site_fract_y
_atom_site_fract_z
Tb1 Tb 0.000 0.000 0.000
Pm1 Pm 0.500 0.500 0.000
Gd1 Gd 0.000 0.500 0.500
Gd2 Gd 0.500 0.000 0.500
```

Results
Crystal system = tetragonal
Energy of formation from the pure elements = 20 meV per atom
Relative energy among the computed polymorphs = 0.0 meV per atom
DOS at the Fermi energy = 7.13 states/eV/cell



(4)
A plane-wave DFT calculation with GGA-PBE was carried out for a geometry-optimized LiTbZn2Au4 structure.

The structure in CIF format:
```
data_LiTbZn2Au4
_symmetry_space_group_name_H-M 'P 1'
_symmetry_Int_Tables_number 1
_cell_length_a 8.579
_cell_length_b 8.579
_cell_length_c 8.579
_cell_angle_alpha 30.63
_cell_angle_beta 30.63
_cell_angle_gamma 30.63
loop_
_symmetry_equiv_pos_as_xyz
'x,y,z'
loop_
_atom_site_label
_atom_site_type_symbol
_atom_site_fract_x
_atom_site_fract_y
_atom_site_fract_z
Li1 Li 0.000 0.000 0.000
Tb1 Tb 0.500 0.500 0.500
Zn1 Zn 0.256 0.256 0.256
Zn2 Zn 0.744 0.744 0.744
Au1 Au 0.106 0.106 0.106
Au2 Au 0.371 0.371 0.371
Au3 Au 0.629 0.629 0.629
Au4 Au 0.894 0.894 0.894
```

Results
Crystal system = trigonal
Energy of formation from the pure elements = -529 meV per atom
DOS at the Fermi energy = 2.68 states/eV/cell



(5)
A plane-wave DFT calculation with GGA-PBE was carried out for a geometry-optimized CaTlAuS2 structure.

The structure in CIF format:
```
data_CaTlAuS2
_symmetry_space_group_name_H-M 'P 1'
_symmetry_Int_Tables_number 1
_cell_length_a 5.102
_cell_length_b 5.102
_cell_length_c 5.234
_cell_angle_alpha 90.00
_cell_angle_beta 90.00
_cell_angle_gamma 90.00
loop_
_symmetry_equiv_pos_as_xyz
'x,y,z'
loop_
_atom_site_label
_atom_site_type_symbol
_atom_site_fract_x
_atom_site_fract_y
_atom_site_fract_z
Ca1 Ca 0.000 0.000 0.000
Tl1 Tl 0.500 0.500 0.000
Au1 Au 0.500 0.500 0.500
S1 S 0.000 0.500 0.500
S2 S 0.500 0.000 0.500
```

Results
Crystal system = tetragonal
Relative energy among the computed polymorphs = 789.3 meV per atom
Formation energy without anion corrections = -0.13 eV/atom
DOS at the Fermi energy = 2.49 states/eV/cell



(6)
A plane-wave DFT calculation with GGA-PBE was carried out for a geometry-optimized CaAcCdIr structure.

The structure in CIF format:
```
data_CaAcCdIr
_symmetry_space_group_name_H-M 'P 1'
_symmetry_Int_Tables_number 1
_cell_length_a 5.301
_cell_length_b 5.301
_cell_length_c 5.301
_cell_angle_alpha 60.00
_cell_angle_beta 60.00
_cell_angle_gamma 60.00
loop_
_symmetry_equiv_pos_as_xyz
'x,y,z'
loop_
_atom_site_label
_atom_site_type_symbol
_atom_site_fract_x
_atom_site_fract_y
_atom_site_fract_z
Ca1 Ca 0.000 0.000 0.000
Ac1 Ac 0.500 0.500 0.500
Cd1 Cd 0.750 0.750 0.750
Ir1 Ir 0.250 0.250 0.250
```

Results
Crystal system = cubic
Energy of formation from the pure elements = -279 meV per atom
DOS at the Fermi energy = 4.10 states/eV/cell



(7)
A plane-wave DFT calculation with GGA-PBE was carried out for a geometry-optimized Ba2ScP2 structure.

The structure in CIF format:
```
data_Ba2ScP2
_symmetry_space_group_name_H-M 'P 1'
_symmetry_Int_Tables_number 1
_cell_length_a 8.142
_cell_length_b 8.142
_cell_length_c 8.142
_cell_angle_alpha 127.68
_cell_angle_beta 73.50
_cell_angle_gamma 132.29
loop_
_symmetry_equiv_pos_as_xyz
'x,y,z'
loop_
_atom_site_label
_atom_site_type_symbol
_atom_site_fract_x
_atom_site_fract_y
_atom_site_fract_z
Ba1 Ba 0.148 0.162 0.310
Ba2 Ba 0.352 0.662 0.014
Ba3 Ba 0.648 0.338 0.986
Ba4 Ba 0.852 0.838 0.690
Sc1 Sc 0.250 0.750 0.500
Sc2 Sc 0.750 0.250 0.500
P1 P 0.104 0.708 0.813
P2 P 0.396 0.208 0.604
P3 P 0.604 0.792 0.396
P4 P 0.896 0.292 0.187
```

Results
Crystal system = orthorhombic
Energy of formation from the pure elements = -1061 meV per atom
Relative energy among the computed polymorphs = 0.0 meV per atom
DOS at the Fermi energy = 7.31 states/eV/cell



(8)
A plane-wave DFT calculation with GGA-PBE was carried out for a geometry-optimized PaMn2C structure.

The structure in CIF format:
```
data_PaMn2C
_symmetry_space_group_name_H-M 'P 1'
_symmetry_Int_Tables_number 1
_cell_length_a 7.221
_cell_length_b 7.221
_cell_length_c 7.221
_cell_angle_alpha 24.06
_cell_angle_beta 24.06
_cell_angle_gamma 24.06
loop_
_symmetry_equiv_pos_as_xyz
'x,y,z'
loop_
_atom_site_label
_atom_site_type_symbol
_atom_site_fract_x
_atom_site_fract_y
_atom_site_fract_z
Pa1 Pa 0.000 0.000 0.000
Mn1 Mn 0.120 0.120 0.120
Mn2 Mn 0.880 0.880 0.880
C1 C 0.500 0.500 0.500
```

Results
Crystal system = trigonal
Energy of formation from the pure elements = 249 meV per atom
DOS at the Fermi energy = 2.94 states/eV/cell